HoGaNO: optimized geometry, PBE-GGA.

Cell: 3.851 3.851 7.583 Å, 90.00 90.00 90.00°
Element x y z (fractional)
Ho: 0.250 0.250 0.143
Ho: 0.750 0.750 0.857
Ga: 0.250 0.750 0.500
Ga: 0.750 0.250 0.500
N: 0.250 0.250 0.634
N: 0.750 0.750 0.366
O: 0.250 0.750 0.000
O: 0.750 0.250 0.000

The total energy is -6.553 eV/atom. The calculation puts the total magnetization at 0.01 μB/cell.